[1]
The following is a GGA-PBE calculation of a geometry-optimized Ag2AuCl structure, from Alexandria.

a b c (Å): 3.2863 3.2882 7.0886
angles (deg): 90.00 90.00 90.00
Last column: nearest neighbours and their distance in Å.
Positions (direct):
Cl 0.5000 0.5000 0.7500  8 Ag 2.97, 4 Cl 3.29
Ag 0.0000 0.0000 0.0110  4 Au 2.88, 4 Cl 2.97
Au 0.5000 0.5000 0.2500  8 Ag 2.88
Ag 0.0000 0.0000 0.4890  4 Au 2.88, 4 Cl 2.97

Calculated values
**Calculated density**: 9.715 g cm⁻³
**ΔE_f (raw)**: -0.08 eV/atom
**Energy above the lowest structure with this stoichiometry**: 45.0 meV/atom

***

[2]
The following is a GGA-PBE calculation of a geometry-optimized Sm2Co15Ni2 structure, from Alexandria.

a b c (Å): 6.2959 6.2959 6.2959
angles (deg): 83.33 83.33 83.33
Last column: nearest neighbours and their distance in Å.
Positions (direct):
Ni 0.1010 0.1010 0.1010  1 Ni 2.45, 12 Co 2.54-2.67
Co 0.2842 0.7158 0.0000  8 Co 2.37-2.59
Co 0.5000 0.0000 0.0000  8 Co 2.37-2.41, 2 Ni 2.54
Sm 0.3420 0.3420 0.3420  1 Ni 2.92, 18 Co 3.00-3.22
Co 0.8485 0.3450 0.3450  8 Co 2.41-2.59, 1 Ni 2.58
Co 0.3450 0.8485 0.3450  8 Co 2.41-2.59, 1 Ni 2.58
Co 0.7158 0.0000 0.2842  8 Co 2.37-2.59
Co 0.2842 0.0000 0.7158  8 Co 2.37-2.59
Co 0.0000 0.7158 0.2842  8 Co 2.37-2.59
Co 0.3450 0.3450 0.8485  8 Co 2.41-2.59, 1 Ni 2.58
Sm 0.6580 0.6580 0.6580  1 Ni 2.92, 18 Co 3.00-3.22
Ni 0.8990 0.8990 0.8990  1 Ni 2.45, 12 Co 2.54-2.67
Co 0.0000 0.0000 0.5000  8 Co 2.37-2.41, 2 Ni 2.54
Co 0.7158 0.2842 0.0000  8 Co 2.37-2.59
Co 0.1515 0.6550 0.6550  8 Co 2.41-2.59, 1 Ni 2.58
Co 0.0000 0.2842 0.7158  8 Co 2.37-2.59
Co 0.0000 0.5000 0.0000  8 Co 2.37-2.41, 2 Ni 2.54
Co 0.6550 0.6550 0.1515  8 Co 2.41-2.59, 1 Ni 2.58
Co 0.6550 0.1515 0.6550  8 Co 2.41-2.59, 1 Ni 2.58

Calculated values
**ΔE_f**: -0.074 eV/atom
**Calculated density**: 8.831 g cm⁻³